Below is Pr4Er3Tm after structural relaxation, with properties calculated at the PBE level.

D(E_F) = 1.5167 states/eV per atom
E above lowest polymorph = 0.08 eV/f.u.
energy = -4.64 eV per atom
ΔH_f (0 K) = 0.02 eV per atom

a b c (Å): 7.209 7.207 10.230
angles (deg): 90.00 90.00 90.00
Atoms (fractional coordinates):
Pr (0.000, 0.811, 0.000)
Pr (0.500, 0.310, 0.000)
Pr (0.750, 0.061, 0.750)
Pr (0.250, 0.561, 0.750)
Pr (0.500, 0.810, 0.500)
Pr (0.000, 0.311, 0.500)
Pr (0.250, 0.561, 0.250)
Pr (0.750, 0.061, 0.250)
Tm (0.500, 0.811, 0.000)
Tm (0.500, 0.311, 0.500)
Er (0.000, 0.310, 0.000)
Er (0.250, 0.061, 0.750)
Er (0.750, 0.561, 0.750)
Er (0.000, 0.810, 0.500)
Er (0.750, 0.561, 0.250)
Er (0.250, 0.061, 0.250)